Entry from the Alexandria database: a relaxed Zr4AsCN2 crystal (PBE-GGA).

Unit cell a=5.9374 b=5.6321 c=5.6321 alpha=63.62 beta=58.19 gamma=58.19
Closest atoms and distances in Å follow each position.
Fractional coordinates of all 8 atoms:
1 N 0.7500 0.7500 0.7500  4 Zr 2.20
2 N 0.2500 0.2500 0.2500  4 Zr 2.20
3 Zr 0.4762 0.1178 0.5238  1 C 2.17, 2 N 2.20
4 Zr 0.8822 0.5238 0.1178  1 C 2.17, 2 N 2.20
5 Zr 0.5238 0.4762 0.8822  1 C 2.17, 2 N 2.20
6 Zr 0.1178 0.8822 0.4762  1 C 2.17, 2 N 2.20
7 As 0.0000 0.0000 0.0000  8 Zr 2.83-2.95
8 C 0.5000 0.5000 0.5000  4 Zr 2.17

Computed properties:
Its space group is I-42m (121). As for the crystal system: tetragonal. The value obtained for the total energy is -9.02 eV per atom. For the formation energy without anion corrections, the calculation gives -7.42 eV/f.u. For the density of states at the Fermi level, the calculation gives 0.628 states/eV/atom.